--- w ---
## AlPW2 (PBE-GGA)

Data for a relaxed AlPW2 crystal.

abc: 2.9275 2.9275 16.2916
angles: 90.00 90.00 120.00
Sites, in units of the cell vectors:
1 Al 0.3333 0.6667 0.2500
2 Al 0.6667 0.3333 0.7500
3 P 0.0000 0.0000 0.0000
4 P 0.0000 0.0000 0.5000
5 W 0.3333 0.6667 0.6146
6 W 0.3333 0.6667 0.8854
7 W 0.6667 0.3333 0.1146
8 W 0.6667 0.3333 0.3854

Properties
SG ... No. 194
Calculated density ... 11.691 g/cm3
V ... 15.114 Å³/atom

---

--- x ---
## AlPW2 (PBE-GGA)

Data for a relaxed AlPW2 crystal.

abc: 4.2931 4.2931 3.1512
angles: 90.00 90.00 90.00
Sites, in units of the cell vectors:
1 Al 0.0000 0.0000 0.0000
2 P 0.5000 0.5000 0.0000
3 W 0.0000 0.5000 0.5000
4 W 0.5000 0.0000 0.5000

Properties
SG ... No. 123
Calculated density ... 12.169 g/cm3
V ... 14.520 Å³/atom

---

Most stable structure: w

---

--- w ---
## AlPW2 (PBE-GGA)

Data for a relaxed AlPW2 crystal.

abc: 2.7856 2.7856 8.4414
angles: 90.00 90.00 109.35
Sites, in units of the cell vectors:
1 Al 0.0000 0.0000 0.0000
2 P 0.5000 0.5000 0.2563
3 W 0.0000 0.0000 0.4844
4 W 0.5000 0.5000 0.7472

Properties
SG ... No. 35
Calculated density ... 11.436 g/cm3
V ... 15.451 Å³/atom

---

--- x ---
## AlPW2 (PBE-GGA)

Data for a relaxed AlPW2 crystal.

abc: 4.7164 4.7164 4.4580
angles: 105.32 105.32 38.06
Sites, in units of the cell vectors:
1 Al 0.0000 0.0000 0.0000
2 P 0.2561 0.2561 0.6803
3 W 0.5218 0.5218 0.5223
4 W 0.7489 0.7489 0.1801

Properties
SG ... No. 8
Calculated density ... 12.042 g/cm3
V ... 14.674 Å³/atom

---

Most stable structure: x

---

--- w ---
## AlPW2 (PBE-GGA)

Data for a relaxed AlPW2 crystal.

abc: 4.9786 4.9786 4.9786
angles: 141.66 128.59 65.92
Sites, in units of the cell vectors:
1 Al 0.0000 0.0000 0.0000
2 P 0.2530 0.7530 0.5000
3 W 0.4789 0.4789 0.0000
4 W 0.7436 0.2436 0.5000

Properties
SG ... No. 44
Calculated density ... 11.981 g/cm3
V ... 14.748 Å³/atom

---

--- x ---
## AlPW2 (PBE-GGA)

Data for a relaxed AlPW2 crystal.

abc: 4.9224 4.9224 2.8281
angles: 101.15 101.15 111.56
Sites, in units of the cell vectors:
1 Al 0.0000 0.0000 0.0000
2 P 0.5000 0.5000 0.0000
3 W 0.0000 0.5000 0.5000
4 W 0.5000 0.0000 0.5000

Properties
SG ... No. 12
Calculated density ... 11.811 g/cm3
V ... 14.961 Å³/atom

---

--- y ---
## AlPW2 (PBE-GGA)

Data for a relaxed AlPW2 crystal.

abc: 4.3518 4.3518 4.3518
angles: 60.00 60.00 60.00
Sites, in units of the cell vectors:
1 Al 0.0000 0.0000 0.0000
2 P 0.5000 0.5000 0.5000
3 W 0.2500 0.2500 0.2500
4 W 0.7500 0.7500 0.7500

Properties
SG ... No. 225
Calculated density ... 12.128 g/cm3
V ... 14.569 Å³/atom

---

Most stable structure: w

---

--- w ---
## AlPW2 (PBE-GGA)

Data for a relaxed AlPW2 crystal.

abc: 5.0054 5.0054 5.0054
angles: 143.94 123.40 68.97
Sites, in units of the cell vectors:
1 Al 0.0000 0.0000 0.0000
2 P 0.5000 0.5000 0.0000
3 W 0.2786 0.7786 0.5000
4 W 0.7214 0.2214 0.5000

Properties
SG ... No. 71
Calculated density ... 11.649 g/cm3
V ... 15.168 Å³/atom

---

--- x ---
## AlPW2 (PBE-GGA)

Data for a relaxed AlPW2 crystal.

abc: 4.6420 4.6420 4.5319
angles: 96.02 96.02 38.84
Sites, in units of the cell vectors:
1 Al 0.0000 0.0000 0.0000
2 P 0.5000 0.5000 0.5000
3 W 0.2511 0.2511 0.7476
4 W 0.7489 0.7489 0.2524

Properties
SG ... No. 12
Calculated density ... 11.613 g/cm3
V ... 15.216 Å³/atom

---

Most stable structure: w

---

--- w ---
## AlPW2 (PBE-GGA)

Data for a relaxed AlPW2 crystal.

abc: 3.0152 3.5076 5.8155
angles: 90.00 100.80 90.00
Sites, in units of the cell vectors:
1 Al 0.0000 0.0000 0.0000
2 P 0.0000 0.0000 0.5000
3 W 0.3711 0.5000 0.7306
4 W 0.6289 0.5000 0.2694

Properties
SG ... No. 10
Calculated density ... 11.699 g/cm3
V ... 15.104 Å³/atom

---

--- x ---
## AlPW2 (PBE-GGA)

Data for a relaxed AlPW2 crystal.

abc: 8.4399 8.4399 8.4399
angles: 20.16 20.16 20.16
Sites, in units of the cell vectors:
1 Al 0.0000 0.0000 0.0000
2 P 0.2473 0.2473 0.2473
3 W 0.5105 0.5105 0.5105
4 W 0.7522 0.7522 0.7522

Properties
SG ... No. 160
Calculated density ... 11.307 g/cm3
V ... 15.627 Å³/atom

---

Most stable structure: x

---

--- w ---
## AlPW2 (PBE-GGA)

Data for a relaxed AlPW2 crystal.

abc: 3.1557 3.1557 5.8891
angles: 90.00 90.00 90.00
Sites, in units of the cell vectors:
1 Al 0.0000 0.0000 0.0000
2 P 0.5000 0.5000 0.2604
3 W 0.0000 0.0000 0.4607
4 W 0.5000 0.5000 0.7534

Properties
SG ... No. 99
Calculated density ... 12.052 g/cm3
V ... 14.661 Å³/atom

---

--- x ---
## AlPW2 (PBE-GGA)

Data for a relaxed AlPW2 crystal.

abc: 3.2194 4.1025 4.5197
angles: 90.00 90.00 90.00
Sites, in units of the cell vectors:
1 Al 0.0000 0.0000 0.0000
2 P 0.5000 0.0000 0.5000
3 W 0.0000 0.5000 0.5000
4 W 0.5000 0.5000 0.0000

Properties
SG ... No. 47
Calculated density ... 11.840 g/cm3
V ... 14.924 Å³/atom

---

Most stable structure: w